Here is crystalline DyInI4 at its relaxed geometry from Alexandria via LeMat-Bulk. Energies are from GGA-PBE.

E_form (uncorrected): -1.073 eV per atom
calculated total energy: -20.0 eV/cell

a b c (Å): 7.9156 7.9156 8.6835
angles (deg): 101.21 101.21 33.00
Last column: nearest neighbours and their distance in Å.
Atoms (fractional coordinates):
Dy 0.0000 0.0000 0.0000  6 I 2.99-3.09
In 0.5000 0.5000 0.5000  6 I 3.45-3.55
I 0.1191 0.1191 0.3197  1 Dy 2.99
I 0.3840 0.3840 0.1022  2 Dy 3.09
I 0.6160 0.6160 0.8978  2 Dy 3.09
I 0.8809 0.8809 0.6803  1 Dy 2.99

---

Here is crystalline LiDyIn2I6 at its relaxed geometry from Alexandria via LeMat-Bulk. Energies are from GGA-PBE.

E_form (uncorrected): -0.957 eV per atom
calculated total energy: -30.9 eV/cell

a b c (Å): 8.4375 8.4375 8.4375
angles (deg): 58.92 58.92 58.92
Last column: nearest neighbours and their distance in Å.
Atoms (fractional coordinates):
Li 0.0000 0.0000 0.0000  6 I 2.97-3.17
Dy 0.5078 0.5078 0.5078  6 I 3.02-3.06
In 0.2102 0.2102 0.2102  6 I 3.46-3.56
In 0.7158 0.7158 0.7158  6 I 3.50-3.56
I 0.1732 0.3463 0.7638  1 Dy 3.02, 1 Li 3.17
I 0.2724 0.8496 0.6656  1 Li 2.97, 1 Dy 3.06
I 0.3463 0.7638 0.1732  1 Dy 3.02, 1 Li 3.17
I 0.6656 0.2724 0.8496  1 Li 2.97, 1 Dy 3.06
I 0.7638 0.1732 0.3463  1 Dy 3.02, 1 Li 3.17
I 0.8496 0.6656 0.2724  1 Li 2.97, 1 Dy 3.06

---

Here is crystalline DyIn2IO8 at its relaxed geometry from Alexandria via LeMat-Bulk. Energies are from GGA-PBE.

E_form (uncorrected): -1.452 eV per atom
calculated total energy: -68.7 eV/cell

a b c (Å): 4.9276 4.9276 6.7175
angles (deg): 90.00 90.00 90.79
Last column: nearest neighbours and their distance in Å.
Atoms (fractional coordinates):
Dy 0.0000 0.0000 0.0000  6 O 2.15-2.33
In 0.5000 0.5000 0.2490  6 O 2.12-2.26
In 0.5000 0.5000 0.7510  6 O 2.12-2.26
I 0.0000 0.0000 0.5000  6 O 1.90-1.95
O 0.1826 0.8174 0.2902  1 I 1.90
O 0.1826 0.8174 0.7098  1 I 1.90
O 0.2824 0.2824 0.5000  1 I 1.95
O 0.3113 0.3113 0.0000  2 In 2.12, 1 Dy 2.15
O 0.6887 0.6887 0.0000  2 In 2.12, 1 Dy 2.15
O 0.7176 0.7176 0.5000  1 I 1.95
O 0.8174 0.1826 0.2902  1 I 1.90
O 0.8174 0.1826 0.7098  1 I 1.90

---

Here is crystalline DyInIO6 at its relaxed geometry from Alexandria via LeMat-Bulk. Energies are from GGA-PBE.

E_form (uncorrected): -1.407 eV per atom
calculated total energy: -102.6 eV/cell

a b c (Å): 5.5908 5.5908 9.1323
angles (deg): 90.00 90.00 120.00
Last column: nearest neighbours and their distance in Å.
Atoms (fractional coordinates):
Dy 0.3333 0.6667 0.2500  6 O 2.28
Dy 0.6667 0.3333 0.7500  6 O 2.28
In 0.0000 0.0000 0.0000  6 O 2.26
In 0.0000 0.0000 0.5000  6 O 2.26
I 0.3333 0.6667 0.7500  6 O 2.02
I 0.6667 0.3333 0.2500  6 O 2.02
O 0.0361 0.3611 0.6291  1 I 2.02
O 0.0361 0.6750 0.8709  1 I 2.02
O 0.3250 0.3611 0.8709  1 I 2.02
O 0.3250 0.9639 0.6291  1 I 2.02
O 0.3611 0.0361 0.1291  1 I 2.02
O 0.3611 0.3250 0.3709  1 I 2.02
O 0.6389 0.6750 0.6291  1 I 2.02
O 0.6389 0.9639 0.8709  1 I 2.02
O 0.6750 0.0361 0.3709  1 I 2.02
O 0.6750 0.6389 0.1291  1 I 2.02
O 0.9639 0.3250 0.1291  1 I 2.02
O 0.9639 0.6389 0.3709  1 I 2.02

---

Here is crystalline DyInPbI6 at its relaxed geometry from Alexandria via LeMat-Bulk. Energies are from GGA-PBE.

E_form (uncorrected): -0.934 eV per atom
calculated total energy: -57.5 eV/cell

a b c (Å): 8.0740 8.0740 15.0989
angles (deg): 90.00 90.00 120.00
Last column: nearest neighbours and their distance in Å.
Atoms (fractional coordinates):
Dy 0.3333 0.6667 0.2500  6 I 3.05
Dy 0.6667 0.3333 0.7500  6 I 3.05
In 0.0000 0.0000 0.0000  6 I 3.52
In 0.0000 0.0000 0.5000  6 I 3.52
Pb 0.3333 0.6667 0.7500  6 I 3.25
Pb 0.6667 0.3333 0.2500  6 I 3.25
I 0.0194 0.3691 0.1317  1 Dy 3.05, 1 Pb 3.25
I 0.0194 0.6503 0.3683  1 Dy 3.05, 1 Pb 3.25
I 0.3497 0.3691 0.3683  1 Dy 3.05, 1 Pb 3.25
I 0.3497 0.9806 0.1317  1 Dy 3.05, 1 Pb 3.25
I 0.3691 0.0194 0.6317  1 Dy 3.05, 1 Pb 3.25
I 0.3691 0.3497 0.8683  1 Dy 3.05, 1 Pb 3.25
I 0.6309 0.6503 0.1317  1 Dy 3.05, 1 Pb 3.25
I 0.6309 0.9806 0.3683  1 Dy 3.05, 1 Pb 3.25
I 0.6503 0.0194 0.8683  1 Dy 3.05, 1 Pb 3.25
I 0.6503 0.6309 0.6317  1 Dy 3.05, 1 Pb 3.25
I 0.9806 0.3497 0.6317  1 Dy 3.05, 1 Pb 3.25
I 0.9806 0.6309 0.8683  1 Dy 3.05, 1 Pb 3.25

---

Here is crystalline Rb2DyInI6 at its relaxed geometry from Alexandria via LeMat-Bulk. Energies are from GGA-PBE.

E_form (uncorrected): -1.253 eV per atom
calculated total energy: -31.1 eV/cell

a b c (Å): 8.9855 8.9855 8.9855
angles (deg): 59.05 59.05 59.05
Last column: nearest neighbours and their distance in Å.
Atoms (fractional coordinates):
Rb 0.0000 0.0000 0.0000  6 I 3.73-3.84
Rb 0.4915 0.4915 0.4915  6 I 3.70-3.84
Dy 0.7847 0.7847 0.7847  6 I 3.04-3.06
In 0.2795 0.2795 0.2795  6 I 3.42-3.54
I 0.0200 0.4604 0.6444  1 Dy 3.04
I 0.1143 0.9201 0.5667  1 Dy 3.06, 1 In 3.42
I 0.4604 0.6444 0.0200  1 Dy 3.04
I 0.5667 0.1143 0.9201  1 Dy 3.06, 1 In 3.42
I 0.6444 0.0200 0.4604  1 Dy 3.04
I 0.9201 0.5667 0.1143  1 Dy 3.06, 1 In 3.42